A | Entry from the Alexandria database: a relaxed GaIr3Cl crystal (PBE).

Lattice parameters (Å, degrees): 4.4534 4.4534 4.4534 90.00 90.00 90.00
With the nearest neighbours (Å) after each atom.
Positions (direct):
Ga 0.0000 0.0000 0.0000  12 Ir 3.15
Ir 0.0000 0.5000 0.5000  2 Cl 2.23
Ir 0.5000 0.0000 0.5000  2 Cl 2.23
Ir 0.5000 0.5000 0.0000  2 Cl 2.23
Cl 0.5000 0.5000 0.5000  6 Ir 2.23

B | Entry from the Alexandria database: a relaxed GaIr3Cl crystal (PBE).

Lattice parameters (Å, degrees): 4.6708 4.6708 4.6708 90.00 90.00 90.00
With the nearest neighbours (Å) after each atom.
Positions (direct):
Ga 0.0000 0.0000 0.0000  6 Ir 2.34
Ir 0.0000 0.0000 0.5000  2 Ga 2.34
Ir 0.0000 0.5000 0.0000  2 Ga 2.34
Ir 0.5000 0.0000 0.0000  2 Ga 2.34
Cl 0.5000 0.5000 0.5000  12 Ir 3.30

Verdict on stability: A comes out on top.

A | Entry from the Alexandria database: a relaxed GaP2IrCl crystal (PBE).

Lattice parameters (Å, degrees): 4.4991 4.4991 5.8946 90.00 90.00 90.00
With the nearest neighbours (Å) after each atom.
Positions (direct):
Ga 0.0000 0.0000 0.0000  4 Cl 3.18
P 0.0000 0.5000 0.5000  2 Ir 2.25
P 0.5000 0.0000 0.5000  2 Ir 2.25
Ir 0.5000 0.5000 0.5000  4 P 2.25
Cl 0.5000 0.5000 0.0000  2 Ir 2.95, 4 Ga 3.18

B | Entry from the Alexandria database: a relaxed GaP2IrCl crystal (PBE).

Lattice parameters (Å, degrees): 4.6464 4.6464 4.5353 90.00 90.00 90.00
With the nearest neighbours (Å) after each atom.
Positions (direct):
Ga 0.0000 0.0000 0.0000  2 Cl 2.27, 4 P 2.32
P 0.0000 0.5000 0.0000  2 Ga 2.32
P 0.5000 0.0000 0.0000  2 Ga 2.32
Ir 0.5000 0.5000 0.5000  8 P 3.25, 4 Cl 3.29
Cl 0.0000 0.0000 0.5000  2 Ga 2.27

Verdict on stability: A comes out on top.

A | Entry from the Alexandria database: a relaxed GaIrSCl2 crystal (PBE).

Lattice parameters (Å, degrees): 4.6196 4.6196 5.0409 90.00 90.00 90.00
With the nearest neighbours (Å) after each atom.
Positions (direct):
Ga 0.0000 0.0000 0.0000  4 Cl 2.31, 2 S 2.52
Ir 0.5000 0.5000 0.5000  4 S 3.27, 8 Cl 3.42
S 0.0000 0.0000 0.5000  2 Ga 2.52
Cl 0.0000 0.5000 0.0000  2 Ga 2.31
Cl 0.5000 0.0000 0.0000  2 Ga 2.31

B | Entry from the Alexandria database: a relaxed GaIrSCl2 crystal (PBE).

Lattice parameters (Å, degrees): 5.1451 5.1451 4.4072 90.00 90.00 90.00
With the nearest neighbours (Å) after each atom.
Positions (direct):
Ga 0.0000 0.0000 0.0000  8 Cl 3.39, 4 S 3.64
Ir 0.5000 0.5000 0.5000  2 S 2.20
S 0.5000 0.5000 0.0000  2 Ir 2.20
Cl 0.0000 0.5000 0.5000  2 Ir 2.57
Cl 0.5000 0.0000 0.5000  2 Ir 2.57

Verdict on stability: B comes out on top.

A | Entry from the Alexandria database: a relaxed KGaCl2 crystal (PBE).

Lattice parameters (Å, degrees): 8.6059 8.6059 8.6059 133.72 133.72 67.52
With the nearest neighbours (Å) after each atom.
Positions (direct):
K 0.0000 0.0000 0.0000  4 Cl 3.07
K 0.7500 0.2500 0.5000  4 Cl 3.07
Ga 0.2500 0.7500 0.5000  4 Cl 2.91
Ga 0.5000 0.5000 0.0000  4 Cl 2.91
Cl 0.1459 0.6250 0.0209  2 Ga 2.91, 2 K 3.07
Cl 0.3750 0.3959 0.5209  2 Ga 2.91, 2 K 3.07
Cl 0.6041 0.1250 0.9791  2 Ga 2.91, 2 K 3.07
Cl 0.8750 0.8541 0.4791  2 Ga 2.91, 2 K 3.07

B | Entry from the Alexandria database: a relaxed KGaCl2 crystal (PBE).

Lattice parameters (Å, degrees): 9.0523 9.0523 9.0523 30.11 30.11 30.11
With the nearest neighbours (Å) after each atom.
Positions (direct):
K 0.0000 0.0000 0.0000  6 Cl 3.20
Ga 0.5000 0.5000 0.5000  2 Cl 2.63
Cl 0.3986 0.3986 0.3986  1 Ga 2.63
Cl 0.6014 0.6014 0.6014  1 Ga 2.63

Verdict on stability: A comes out on top.

A | Entry from the Alexandria database: a relaxed KGaCl3 crystal (PBE).

Lattice parameters (Å, degrees): 7.7777 7.5714 13.5085 90.00 115.66 90.00
With the nearest neighbours (Å) after each atom.
Positions (direct):
K 0.2136 0.0878 0.1917  6 Cl 3.19-3.29
K 0.2136 0.4122 0.6917  6 Cl 3.19-3.29
K 0.7864 0.5878 0.3083  6 Cl 3.19-3.29
K 0.7864 0.9122 0.8083  6 Cl 3.19-3.29
Ga 0.3734 0.5942 0.4368  3 Cl 2.26-2.27, 1 Ga 2.43
Ga 0.3734 0.9058 0.9368  3 Cl 2.26-2.27, 1 Ga 2.43
Ga 0.6266 0.0942 0.0632  3 Cl 2.26-2.27, 1 Ga 2.43
Ga 0.6266 0.4058 0.5632  3 Cl 2.26-2.27, 1 Ga 2.43
Cl 0.1567 0.0387 0.7823  1 Ga 2.27
Cl 0.1567 0.4613 0.2823  1 Ga 2.27
Cl 0.1874 0.7131 0.5098  1 Ga 2.26
Cl 0.1874 0.7869 0.0098  1 Ga 2.26
Cl 0.4911 0.6829 0.8721  1 Ga 2.27
Cl 0.4911 0.8171 0.3721  1 Ga 2.27
Cl 0.5089 0.1829 0.6279  1 Ga 2.27
Cl 0.5089 0.3171 0.1279  1 Ga 2.27
Cl 0.8126 0.2131 0.9902  1 Ga 2.26
Cl 0.8126 0.2869 0.4902  1 Ga 2.26
Cl 0.8433 0.5387 0.7177  1 Ga 2.27
Cl 0.8433 0.9613 0.2177  1 Ga 2.27

B | Entry from the Alexandria database: a relaxed KGaCl3 crystal (PBE).

Lattice parameters (Å, degrees): 5.1291 5.1291 5.1291 90.00 90.00 90.00
With the nearest neighbours (Å) after each atom.
Positions (direct):
K 0.0000 0.0000 0.0000  12 Cl 3.63
Ga 0.5000 0.5000 0.5000  6 Cl 2.56
Cl 0.0000 0.5000 0.5000  2 Ga 2.56
Cl 0.5000 0.0000 0.5000  2 Ga 2.56
Cl 0.5000 0.5000 0.0000  2 Ga 2.56

C | Entry from the Alexandria database: a relaxed KGaCl3 crystal (PBE).

Lattice parameters (Å, degrees): 5.8439 5.8439 5.8439 90.00 90.00 90.00
With the nearest neighbours (Å) after each atom.
Positions (direct):
K 0.0000 0.0000 0.0000  6 Cl 2.92
Ga 0.5000 0.5000 0.5000  12 Cl 4.13
Cl 0.0000 0.0000 0.5000  2 K 2.92
Cl 0.0000 0.5000 0.0000  2 K 2.92
Cl 0.5000 0.0000 0.0000  2 K 2.92

Verdict on stability: A comes out on top.

A | Entry from the Alexandria database: a relaxed K2NaGaCl6 crystal (PBE).

Lattice parameters (Å, degrees): 7.2461 7.2461 7.2461 60.00 60.00 60.00
With the nearest neighbours (Å) after each atom.
Positions (direct):
K 0.2500 0.2500 0.2500  12 Cl 3.63
K 0.7500 0.7500 0.7500  12 Cl 3.63
Na 0.0000 0.0000 0.0000  6 Cl 2.73
Ga 0.5000 0.5000 0.5000  6 Cl 2.39
Cl 0.2668 0.2668 0.7332  1 Ga 2.39
Cl 0.2668 0.7332 0.2668  1 Ga 2.39
Cl 0.2668 0.7332 0.7332  1 Ga 2.39
Cl 0.7332 0.2668 0.2668  1 Ga 2.39
Cl 0.7332 0.2668 0.7332  1 Ga 2.39
Cl 0.7332 0.7332 0.2668  1 Ga 2.39

B | Entry from the Alexandria database: a relaxed K2NaGaCl6 crystal (PBE).

Lattice parameters (Å, degrees): 7.1048 7.1048 6.8054 90.00 90.00 120.00
With the nearest neighbours (Å) after each atom.
Positions (direct):
K 0.3333 0.6667 0.3488  9 Cl 3.25-3.57
K 0.6667 0.3333 0.6512  9 Cl 3.25-3.57
Na 0.0000 0.0000 0.0000  6 Cl 2.79
Ga 0.0000 0.0000 0.5000  6 Cl 2.41
Cl 0.1587 0.3173 0.7067  1 Ga 2.41
Cl 0.1587 0.8414 0.7067  1 Ga 2.41
Cl 0.3173 0.1587 0.2933  1 Ga 2.41
Cl 0.6827 0.8414 0.7067  1 Ga 2.41
Cl 0.8414 0.1587 0.2933  1 Ga 2.41
Cl 0.8414 0.6827 0.2933  1 Ga 2.41

Verdict on stability: B comes out on top.

A | Entry from the Alexandria database: a relaxed KGaPCl2 crystal (PBE).

Lattice parameters (Å, degrees): 5.3026 5.3026 4.7629 90.00 90.00 90.00
With the nearest neighbours (Å) after each atom.
Positions (direct):
K 0.0000 0.0000 0.0000  8 Cl 3.56, 4 P 3.75
Ga 0.5000 0.5000 0.5000  2 P 2.38, 4 Cl 2.65
P 0.5000 0.5000 0.0000  2 Ga 2.38
Cl 0.0000 0.5000 0.5000  2 Ga 2.65
Cl 0.5000 0.0000 0.5000  2 Ga 2.65

B | Entry from the Alexandria database: a relaxed KGaPCl2 crystal (PBE).

Lattice parameters (Å, degrees): 5.8609 5.8609 5.9471 90.00 90.00 90.00
With the nearest neighbours (Å) after each atom.
Positions (direct):
K 0.0000 0.0000 0.0000  4 Cl 2.93, 2 P 2.97
Ga 0.5000 0.5000 0.5000  4 P 4.14, 8 Cl 4.17
P 0.0000 0.0000 0.5000  2 K 2.97
Cl 0.0000 0.5000 0.0000  2 K 2.93
Cl 0.5000 0.0000 0.0000  2 K 2.93

Verdict on stability: A comes out on top.

A | Entry from the Alexandria database: a relaxed KGaSCl2 crystal (PBE).

Lattice parameters (Å, degrees): 5.8495 5.8495 5.7506 90.00 90.00 90.00
With the nearest neighbours (Å) after each atom.
Positions (direct):
K 0.0000 0.0000 0.0000  2 S 2.88, 4 Cl 2.92
Ga 0.5000 0.5000 0.5000  8 Cl 4.10, 4 S 4.14
S 0.0000 0.0000 0.5000  2 K 2.88
Cl 0.0000 0.5000 0.0000  2 K 2.92
Cl 0.5000 0.0000 0.0000  2 K 2.92

B | Entry from the Alexandria database: a relaxed KGaSCl2 crystal (PBE).

Lattice parameters (Å, degrees): 5.1565 5.1565 4.6152 90.00 90.00 90.00
With the nearest neighbours (Å) after each atom.
Positions (direct):
K 0.0000 0.0000 0.0000  8 Cl 3.46, 4 S 3.65
Ga 0.5000 0.5000 0.5000  2 S 2.31, 4 Cl 2.58
S 0.5000 0.5000 0.0000  2 Ga 2.31
Cl 0.0000 0.5000 0.5000  2 Ga 2.58
Cl 0.5000 0.0000 0.5000  2 Ga 2.58

Verdict on stability: B comes out on top.